Compound: BeZn2Cr
Source: Alexandria via LeMat-Bulk
Functional: meta-GGA SCAN
Structure: single point on PBEsol structure

Results
Energy of formation = 0.5 eV/f.u.
Density of states at the Fermi level = 1.69 states/eV per cell
VASP energy = -12.321 eV/atom

Cell lengths 2.481, 2.481, 7.513 Å; angles 90.00, 90.00, 90.00 degrees
Space group P4mm (No. 99)
Unique sites:
Be 0.000 0.000 0.000 (multiplicity 1)
Zn 0.000 0.000 0.484 (multiplicity 1)
Zn 0.500 0.500 0.768 (multiplicity 1)
Cr 0.500 0.500 0.222 (multiplicity 1)

=====

Compound: Zr2BeCr
Source: Alexandria via LeMat-Bulk
Functional: meta-GGA SCAN
Structure: single point on PBEsol structure

Results
Energy of formation = 1.6 eV/f.u.
Density of states at the Fermi level = 8.76 states/eV per cell
VASP energy = -20.638 eV/atom

Cell lengths 3.1852, 3.1852, 22.8415 Å; angles 90.00, 90.00, 120.00 degrees
Space group R-3m (No. 166, hexagonal axes)
Unique sites:
Zr 0.0000 0.0000 0.2504 (multiplicity 6)
Be 0.0000 0.0000 0.5000 (multiplicity 3)
Cr 0.0000 0.0000 0.0000 (multiplicity 3)